# CoReIN2

Crystalline CoReIN2 at its relaxed geometry (PBE, Alexandria).

POSCAR file:
```
CoReIN2
1.0
3.835 0.000 0.000
0.000 3.835 0.000
0.000 0.000 5.911
Co Re I N
1 1 1 2
Direct
0.000 0.000 0.000 Co
0.500 0.500 0.500 Re
0.500 0.500 0.000 I
0.000 0.500 0.500 N
0.500 0.000 0.500 N
```

SG = P4/mmm
Calculated density = 7.643 g cm⁻³
Energy relative to the elements, uncorrected = 881 meV/atom
Size of the total moment = 0.400 μB/atom
Relative energy among the computed polymorphs = 0 meV/atom